[1]
Density functional theory data (PBE) for a relaxed structure of CaGaAg2F8.

Lattice parameters (Å, degrees): 5.0614 6.7956 5.4241 90.00 93.99 90.00
With the nearest neighbours (Å) after each atom.
Positions (direct):
Ca 0.0000 0.0000 0.0000  6 F 2.24-2.34
Ga 0.0000 0.5000 0.0000  6 F 1.93-1.96
Ag 0.5000 0.2626 0.5000  4 F 2.23-2.29
Ag 0.5000 0.7374 0.5000  4 F 2.23-2.29
F 0.1666 0.2878 0.8332  1 Ga 1.93
F 0.1666 0.7122 0.8332  1 Ga 1.93
F 0.2856 0.5000 0.2629  1 Ga 1.96
F 0.3261 0.0000 0.3014  2 Ag 2.23, 1 Ca 2.24
F 0.6739 0.0000 0.6986  2 Ag 2.23, 1 Ca 2.24
F 0.7144 0.5000 0.7371  1 Ga 1.96
F 0.8334 0.2878 0.1668  1 Ga 1.93
F 0.8334 0.7122 0.1668  1 Ga 1.93

Results
- theoretical density (kg/m³) = 4261
- M_tot (μB/f.u.) = 1.01
- energy (eV/atom) = -4.44
- N(E_F) (states/eV/f.u.) = 1.31
- ΔE_f (raw) (eV/atom) = -2.299


[2]
Density functional theory data (PBE) for a relaxed structure of CaAg2GeF8.

Lattice parameters (Å, degrees): 5.1238 6.8029 5.6339 90.00 92.31 90.00
With the nearest neighbours (Å) after each atom.
Positions (direct):
Ca 0.0000 0.0000 0.0000  6 F 2.18-2.41
Ag 0.5000 0.2606 0.5000  6 F 2.37-2.63
Ag 0.5000 0.7394 0.5000  6 F 2.37-2.63
Ge 0.0000 0.5000 0.0000  6 F 1.82-1.85
F 0.1593 0.3009 0.8344  1 Ge 1.85
F 0.1593 0.6991 0.8344  1 Ge 1.85
F 0.2690 0.5000 0.2207  1 Ge 1.82
F 0.3134 0.0000 0.2726  1 Ca 2.18, 2 Ag 2.37
F 0.6866 0.0000 0.7274  1 Ca 2.18, 2 Ag 2.37
F 0.7310 0.5000 0.7793  1 Ge 1.82
F 0.8407 0.3009 0.1656  1 Ge 1.85
F 0.8407 0.6991 0.1656  1 Ge 1.85

Results
- theoretical density (kg/m³) = 4066
- M_tot (μB/f.u.) = 0.00
- energy (eV/atom) = -4.59
- ΔE_f (raw) (eV/atom) = -2.312


[3]
Density functional theory data (PBE) for a relaxed structure of CaHfAg2F8.

Lattice parameters (Å, degrees): 3.7573 7.7254 5.9818 90.00 90.10 90.00
With the nearest neighbours (Å) after each atom.
Positions (direct):
Ca 0.0000 0.0000 0.0000  8 F 2.32-2.53
Hf 0.0000 0.5000 0.0000  8 F 2.07-2.20
Ag 0.5000 0.2349 0.5000  6 F 2.44-2.60
Ag 0.5000 0.7651 0.5000  6 F 2.44-2.60
F 0.0005 0.2854 0.2075  1 Hf 2.07
F 0.9995 0.2854 0.7925  1 Hf 2.07
F 0.0005 0.7146 0.2075  1 Hf 2.07
F 0.9995 0.7146 0.7925  1 Hf 2.07
F 0.4992 0.0000 0.7729  2 Ca 2.32, 2 Ag 2.44
F 0.5005 0.5000 0.1926  2 Hf 2.20, 1 F 2.30
F 0.4995 0.5000 0.8074  2 Hf 2.20, 1 F 2.30
F 0.5008 0.0000 0.2271  2 Ca 2.32, 2 Ag 2.44

Results
- theoretical density (kg/m³) = 5607
- M_tot (μB/f.u.) = 0.00
- energy (eV/atom) = -5.58
- N(E_F) (states/eV/f.u.) = 0.00
- ΔE_f (raw) (eV/atom) = -2.863


[4]
Density functional theory data (PBE) for a relaxed structure of Ca3Hf3AgF20.

Lattice parameters (Å, degrees): 10.7049 10.7049 8.4960 90.00 90.00 120.00
With the nearest neighbours (Å) after each atom.
Positions (direct):
Ca 0.1637 0.4332 0.2500  7 F 2.24-2.50
Ca 0.2695 0.8363 0.2500  7 F 2.24-2.50
Ca 0.4332 0.2695 0.7500  7 F 2.24-2.50
Ca 0.5668 0.7305 0.2500  7 F 2.24-2.50
Ca 0.7305 0.1637 0.7500  7 F 2.24-2.50
Ca 0.8363 0.5668 0.7500  7 F 2.24-2.50
Hf 0.1391 0.4168 0.7500  7 F 2.00-2.12
Hf 0.2777 0.8609 0.7500  7 F 2.00-2.12
Hf 0.4168 0.2777 0.2500  7 F 2.00-2.12
Hf 0.5832 0.7223 0.7500  7 F 2.00-2.12
Hf 0.7223 0.1391 0.2500  7 F 2.00-2.12
Hf 0.8609 0.5832 0.2500  7 F 2.00-2.12
Ag 0.0000 0.0000 0.2500  5 F 2.12-2.35
Ag 0.0000 0.0000 0.7500  5 F 2.12-2.35
F 0.0000 0.0000 0.0000  2 Ag 2.12
F 0.0000 0.0000 0.5000  2 Ag 2.12
F 0.0316 0.7976 0.2500  1 Hf 2.10
F 0.0568 0.5863 0.2500  1 Hf 2.08
F 0.0590 0.7737 0.7500  1 Hf 2.04
F 0.1454 0.4262 0.5153  1 Hf 2.00
F 0.1454 0.4262 0.9847  1 Hf 2.00
F 0.1853 0.6336 0.7500  2 Hf 2.12
F 0.2024 0.2341 0.2500  1 Hf 2.10
F 0.2263 0.2853 0.7500  1 Hf 2.04
F 0.2341 0.0316 0.7500  1 Hf 2.10
F 0.2809 0.8546 0.5153  1 Hf 2.00
F 0.2809 0.8546 0.9847  1 Hf 2.00
F 0.2853 0.0590 0.2500  1 Hf 2.04
F 0.3333 0.6667 0.2500  3 Ca 2.24
F 0.3664 0.5517 0.7500  2 Hf 2.12
F 0.4137 0.4705 0.2500  1 Hf 2.08
F 0.4262 0.2809 0.0153  1 Hf 2.00
F 0.4262 0.2809 0.4847  1 Hf 2.00
F 0.4483 0.8147 0.7500  2 Hf 2.12
F 0.4705 0.0568 0.7500  1 Hf 2.08
F 0.5295 0.9432 0.2500  1 Hf 2.08
F 0.5517 0.1853 0.2500  2 Hf 2.12
F 0.5738 0.7191 0.5153  1 Hf 2.00
F 0.5738 0.7191 0.9847  1 Hf 2.00
F 0.5863 0.5295 0.7500  1 Hf 2.08
F 0.6336 0.4483 0.2500  2 Hf 2.12
F 0.6667 0.3333 0.7500  3 Ca 2.24
F 0.7147 0.9410 0.7500  1 Hf 2.04
F 0.7191 0.1454 0.0153  1 Hf 2.00
F 0.7191 0.1454 0.4847  1 Hf 2.00
F 0.7659 0.9684 0.2500  1 Hf 2.10
F 0.7737 0.7147 0.2500  1 Hf 2.04
F 0.7976 0.7659 0.7500  1 Hf 2.10
F 0.8147 0.3664 0.2500  2 Hf 2.12
F 0.8546 0.5738 0.0153  1 Hf 2.00
F 0.8546 0.5738 0.4847  1 Hf 2.00
F 0.9410 0.2263 0.2500  1 Hf 2.04
F 0.9432 0.4137 0.7500  1 Hf 2.08
F 0.9684 0.2024 0.7500  1 Hf 2.10

Results
- theoretical density (kg/m³) = 4504
- M_tot (μB/f.u.) = 0.00
- energy (eV/atom) = -6.42
- ΔE_f (raw) (eV/atom) = -3.601


[5]
Density functional theory data (PBE) for a relaxed structure of Ca2HfAgF.

Lattice parameters (Å, degrees): 6.1237 6.1237 4.9828 90.00 90.00 90.00
With the nearest neighbours (Å) after each atom.
Positions (direct):
Ca 0.0000 0.5000 0.0000  2 Hf 3.06
Ca 0.5000 0.0000 0.0000  2 Hf 3.06
Hf 0.0000 0.0000 0.0000  2 Ag 2.49
Ag 0.0000 0.0000 0.5000  2 Hf 2.49
F 0.5000 0.5000 0.5000  8 Ca 3.95, 4 Ag 4.33

Results
- theoretical density (kg/m³) = 3426
- M_tot (μB/f.u.) = 1.17
- energy (eV/atom) = -3.27
- N(E_F) (states/eV/f.u.) = 3.22
- ΔE_f (raw) (eV/atom) = 0.468


[6]
Density functional theory data (PBE) for a relaxed structure of CaAg2HgF6.

Lattice parameters (Å, degrees): 5.9913 6.1865 10.5557 90.00 124.10 90.00
With the nearest neighbours (Å) after each atom.
Positions (direct):
Ca 0.0000 0.0000 0.0000  6 F 2.27-2.29
Ca 0.0000 0.5000 0.5000  6 F 2.27-2.29
Ag 0.2716 0.0614 0.7529  4 F 2.44-2.47
Ag 0.2716 0.4386 0.2529  4 F 2.44-2.47
Ag 0.7284 0.5614 0.7471  4 F 2.44-2.47
Ag 0.7284 0.9386 0.2471  4 F 2.44-2.47
Hg 0.5000 0.0000 0.5000  6 F 2.30-2.43
Hg 0.5000 0.5000 0.0000  6 F 2.30-2.43
F 0.1130 0.0706 0.2425  1 Ca 2.29, 1 Hg 2.43, 2 Ag 2.45-2.47
F 0.1130 0.4294 0.7425  1 Ca 2.29, 1 Hg 2.43, 2 Ag 2.45-2.47
F 0.2614 0.6985 0.0753  1 Ca 2.27, 1 Hg 2.34, 1 Ag 2.44
F 0.2614 0.8015 0.5753  1 Ca 2.27, 1 Hg 2.34, 1 Ag 2.44
F 0.3744 0.1915 0.0669  1 Ca 2.27, 1 Hg 2.30, 1 Ag 2.46
F 0.3744 0.3085 0.5669  1 Ca 2.27, 1 Hg 2.30, 1 Ag 2.46
F 0.6256 0.6915 0.4331  1 Ca 2.27, 1 Hg 2.30, 1 Ag 2.46
F 0.6256 0.8085 0.9331  1 Ca 2.27, 1 Hg 2.30, 1 Ag 2.46
F 0.7386 0.1985 0.4247  1 Ca 2.27, 1 Hg 2.34, 1 Ag 2.44
F 0.7386 0.3015 0.9247  1 Ca 2.27, 1 Hg 2.34, 1 Ag 2.44
F 0.8870 0.5706 0.2575  1 Ca 2.29, 1 Hg 2.43, 2 Ag 2.45-2.47
F 0.8870 0.9294 0.7575  1 Ca 2.29, 1 Hg 2.43, 2 Ag 2.45-2.47

Results
- theoretical density (kg/m³) = 5847
- M_tot (μB/f.u.) = 0.00
- energy (eV/atom) = -3.89
- ΔE_f (raw) (eV/atom) = -1.970


[7]
Density functional theory data (PBE) for a relaxed structure of Ca2AgHgF8.

Lattice parameters (Å, degrees): 3.9783 5.5833 7.9571 85.55 89.68 85.62
With the nearest neighbours (Å) after each atom.
Positions (direct):
Ca 0.0006 0.0074 0.2492  8 F 2.31-2.53
Ca 0.9994 0.9926 0.7508  8 F 2.31-2.53
Ag 0.5000 0.5000 0.0000  4 F 2.15-2.17
Hg 0.5000 0.5000 0.5000  4 F 2.30-2.34
F 0.0248 0.7586 0.5162  1 Hg 2.30, 2 Ca 2.36-2.44
F 0.0645 0.7571 0.0165  1 Ag 2.17, 2 Ca 2.41
F 0.4585 0.2753 0.2297  1 Ag 2.15
F 0.4734 0.2089 0.7273  2 Ca 2.31-2.34, 1 Hg 2.34
F 0.5266 0.7911 0.2727  2 Ca 2.31-2.34, 1 Hg 2.34
F 0.5415 0.7247 0.7703  1 Ag 2.15
F 0.9355 0.2429 0.9835  1 Ag 2.17, 2 Ca 2.41
F 0.9752 0.2414 0.4838  1 Hg 2.30, 2 Ca 2.36-2.44

Results
- theoretical density (kg/m³) = 5109
- M_tot (μB/f.u.) = 1.00
- energy (eV/atom) = -4.44
- ΔE_f (raw) (eV/atom) = -2.595


[8]
Density functional theory data (PBE) for a relaxed structure of CaAgHg2F8.

Lattice parameters (Å, degrees): 6.8306 6.8306 6.8306 131.74 131.74 70.64
With the nearest neighbours (Å) after each atom.
Positions (direct):
Ca 0.0000 0.0000 0.0000  8 F 2.39
Ag 0.2500 0.7500 0.5000  8 F 2.41
Hg 0.5000 0.5000 0.0000  8 F 2.44
Hg 0.7500 0.2500 0.5000  8 F 2.43
F 0.1239 0.1199 0.4924  1 Ca 2.39, 1 Ag 2.41, 2 Hg 2.43-2.44
F 0.1239 0.6315 0.0040  1 Ca 2.39, 1 Ag 2.41, 2 Hg 2.43-2.44
F 0.3685 0.3725 0.4924  1 Ca 2.39, 1 Ag 2.41, 2 Hg 2.43-2.44
F 0.3685 0.8761 0.9960  1 Ca 2.39, 1 Ag 2.41, 2 Hg 2.43-2.44
F 0.6275 0.1199 0.9960  1 Ca 2.39, 1 Ag 2.41, 2 Hg 2.43-2.44
F 0.6275 0.6315 0.5076  1 Ca 2.39, 1 Ag 2.41, 2 Hg 2.43-2.44
F 0.8801 0.3725 0.0040  1 Ca 2.39, 1 Ag 2.41, 2 Hg 2.43-2.44
F 0.8801 0.8761 0.5076  1 Ca 2.39, 1 Ag 2.41, 2 Hg 2.43-2.44

Results
- theoretical density (kg/m³) = 6697
- M_tot (μB/f.u.) = 1.06
- energy (eV/atom) = -3.63
- N(E_F) (states/eV/f.u.) = 8.74
- ΔE_f (raw) (eV/atom) = -1.932


[9]
Density functional theory data (PBE) for a relaxed structure of CaAg2HgF8.

Lattice parameters (Å, degrees): 6.7926 6.7926 6.7926 131.99 131.99 70.24
With the nearest neighbours (Å) after each atom.
Positions (direct):
Ca 0.0000 0.0000 0.0000  8 F 2.39
Ag 0.2500 0.7500 0.5000  8 F 2.38
Ag 0.5000 0.5000 0.0000  8 F 2.39
Hg 0.7500 0.2500 0.5000  8 F 2.43
F 0.1306 0.1230 0.5002  2 Ag 2.38-2.39, 1 Ca 2.39, 1 Hg 2.43
F 0.1306 0.6305 0.0076  2 Ag 2.38-2.39, 1 Ca 2.39, 1 Hg 2.43
F 0.3695 0.3771 0.5002  2 Ag 2.38-2.39, 1 Ca 2.39, 1 Hg 2.43
F 0.3695 0.8694 0.9924  2 Ag 2.38-2.39, 1 Ca 2.39, 1 Hg 2.43
F 0.6229 0.1230 0.9924  2 Ag 2.38-2.39, 1 Ca 2.39, 1 Hg 2.43
F 0.6229 0.6305 0.4998  2 Ag 2.38-2.39, 1 Ca 2.39, 1 Hg 2.43
F 0.8770 0.3771 0.0076  2 Ag 2.38-2.39, 1 Ca 2.39, 1 Hg 2.43
F 0.8770 0.8694 0.4998  2 Ag 2.38-2.39, 1 Ca 2.39, 1 Hg 2.43

Results
- theoretical density (kg/m³) = 5954
- M_tot (μB/f.u.) = 2.07
- energy (eV/atom) = -3.74
- N(E_F) (states/eV/f.u.) = 9.11
- ΔE_f (raw) (eV/atom) = -1.827


[10]
Density functional theory data (PBE) for a relaxed structure of CaHoAgF6.

Lattice parameters (Å, degrees): 5.3434 5.3434 10.8486 90.00 90.00 90.00
With the nearest neighbours (Å) after each atom.
Positions (direct):
Ca 0.0000 0.0000 0.0000  6 F 2.26-2.32
Ca 0.5000 0.5000 0.5000  6 F 2.26-2.32
Ho 0.0000 0.0000 0.6648  6 F 2.18-2.21
Ho 0.5000 0.5000 0.1648  6 F 2.18-2.21
Ag 0.0000 0.0000 0.3313  6 F 2.43-2.57
Ag 0.5000 0.5000 0.8313  6 F 2.43-2.57
F 0.1783 0.1783 0.8258  1 Ho 2.21, 1 Ca 2.32, 1 Ag 2.43
F 0.2021 0.2021 0.5217  1 Ho 2.18, 1 Ca 2.26
F 0.2124 0.2124 0.1495  1 Ho 2.18, 1 Ca 2.28
F 0.2876 0.7124 0.6495  1 Ho 2.18, 1 Ca 2.28
F 0.2979 0.7021 0.0217  1 Ho 2.18, 1 Ca 2.26
F 0.3217 0.6783 0.3258  1 Ho 2.21, 1 Ca 2.32, 1 Ag 2.43
F 0.6783 0.3217 0.3258  1 Ho 2.21, 1 Ca 2.32, 1 Ag 2.43
F 0.7021 0.2979 0.0217  1 Ho 2.18, 1 Ca 2.26
F 0.7124 0.2876 0.6495  1 Ho 2.18, 1 Ca 2.28
F 0.7876 0.7876 0.1495  1 Ho 2.18, 1 Ca 2.28
F 0.7979 0.7979 0.5217  1 Ho 2.18, 1 Ca 2.26
F 0.8217 0.8217 0.8258  1 Ho 2.21, 1 Ca 2.32, 1 Ag 2.43

Results
- theoretical density (kg/m³) = 4577
- M_tot (μB/f.u.) = 0.06
- energy (eV/atom) = -5.64
- N(E_F) (states/eV/f.u.) = 0.00
- ΔE_f (raw) (eV/atom) = -3.344